# ZrTa2Fe2

ZrTa2Fe2 after structural relaxation (PBE, Alexandria via LeMat-Bulk).

Summary:
- energy above the most stable polymorph in this dataset (eV/f.u.) = 1.90
- DFT formation energy (meV/atom) = 343.3
- E_tot (eV per atom) = -9.4924

```
data_ZrTa2Fe2
_chemical_formula_sum 'Zr2 Ta4 Fe4'
_symmetry_space_group_name_H-M 'I 4/m m m'
_symmetry_Int_Tables_number 139
_symmetry_space_group_name_Hall '-I 4 2'
_cell_length_a 3.915
_cell_length_b 3.915
_cell_length_c 11.362
_cell_angle_alpha 90.00
_cell_angle_beta 90.00
_cell_angle_gamma 90.00
loop_
_atom_site_label
_atom_site_type_symbol
_atom_site_fract_x
_atom_site_fract_y
_atom_site_fract_z
Zr1 Zr 0.000 0.000 0.000
Ta1 Ta 0.000 0.000 0.375
Fe1 Fe 0.000 0.500 0.250
```